No. 1
A relaxed structure of CePmTc2. Source: Alexandria, functional GGA-PBE.

```
CePmTc2
1.0
3.440 0.000 0.000
0.000 3.440 0.000
0.000 0.000 7.087
Tc Ce Pm
2 1 1
direct
0.000 0.000 0.782
0.000 0.000 0.218
0.500 0.500 0.000
0.500 0.500 0.500
```

Computed properties:
As for the crystal system: tetragonal. Its offset from the most stable computed form is 0 meV/atom. For the formation energy from the elements, the calculation gives 0.116 eV per atom.

---

No. 2
A relaxed structure of Sm3HoP4. Source: Alexandria, functional GGA-PBE.

```
Sm3HoP4
1.0
-2.129 -5.704 3.578
2.033 -1.909 -6.487
7.612 -1.135 2.720
P Ho Sm
8 2 6
direct
0.997 0.248 0.628
0.500 0.245 0.878
0.497 0.248 0.372
0.000 0.245 0.122
0.000 0.755 0.878
0.503 0.752 0.628
0.500 0.755 0.122
0.003 0.752 0.372
0.750 0.000 0.876
0.250 0.000 0.124
0.750 0.000 0.374
0.250 0.000 0.626
0.750 0.500 0.626
0.750 0.500 0.124
0.250 0.500 0.374
0.250 0.500 0.876
```

Computed properties:
As for the crystal system: monoclinic. For the formation energy from the elements, the calculation gives -1.579 eV per atom.

---

No. 3
A relaxed structure of FeSBrN2. Source: Alexandria, functional GGA-PBE.

```
FeSBrN2
1.0
-2.876 1.746 1.525
-1.132 -3.178 1.503
3.892 1.353 5.792
S Fe Br N
1 1 1 2
direct
0.000 0.000 0.500
0.500 0.500 0.500
0.000 0.000 0.000
0.000 0.500 0.000
0.500 0.000 0.000
```

Computed properties:
As for the crystal system: tetragonal. Its offset from the most stable computed form is 1170 meV/atom. The value obtained for the uncorrected formation energy is 2.167 eV/atom.

---

No. 4
A relaxed structure of AsPC2. Source: Alexandria, functional GGA-PBE.

```
AsPC2
1.0
-0.165 -0.571 2.932
-3.435 -1.997 -2.080
3.244 -4.091 -0.614
P As C
1 1 2
direct
0.512 0.610 0.773
0.124 0.838 0.279
0.529 0.644 0.095
0.017 0.619 0.608
```

Computed properties:
As for the crystal system: triclinic. Its offset from the most stable computed form is 339 meV/atom. For the formation energy from the elements, the calculation gives 0.882 eV per atom.

---

No. 5
A relaxed structure of BaNd2PtO5. Source: Alexandria, functional GGA-PBE.

```
BaNd2PtO5
1.0
6.833 0.000 0.000
0.000 6.833 0.000
0.000 0.000 5.989
Ba Nd Pt O
2 4 2 10
direct
0.000 0.000 0.000
0.500 0.500 0.000
0.675 0.175 0.500
0.825 0.675 0.500
0.175 0.325 0.500
0.325 0.825 0.500
0.000 0.500 0.000
0.500 0.000 0.000
0.000 0.000 0.500
0.361 0.139 0.254
0.639 0.861 0.254
0.139 0.639 0.746
0.861 0.361 0.254
0.500 0.500 0.500
0.639 0.861 0.746
0.361 0.139 0.746
0.861 0.361 0.746
0.139 0.639 0.254
```

Computed properties:
As for the crystal system: tetragonal. Its offset from the most stable computed form is 0 meV/atom. The value obtained for the uncorrected formation energy is -2.587 eV/atom.

---

No. 6
A relaxed structure of RbTlCd2Hg8. Source: Alexandria, functional GGA-PBE.

```
RbTlCd2Hg8
1.0
-1.297 -4.443 4.137
-0.883 -5.644 -2.431
8.905 -7.166 1.872
Rb Tl Cd Hg
1 1 2 8
direct
0.000 0.000 0.500
0.000 0.000 0.000
0.656 0.656 0.211
0.344 0.344 0.789
0.856 0.369 0.741
0.708 0.708 0.930
0.652 0.652 0.492
0.348 0.348 0.508
0.292 0.292 0.070
0.369 0.856 0.741
0.631 0.144 0.259
0.144 0.631 0.259
```

Computed properties:
As for the crystal system: monoclinic. For the formation energy from the elements, the calculation gives -0.054 eV per atom.

---

No. 7
A relaxed structure of Ac2LaPr. Source: Alexandria, functional GGA-PBE.

```
Ac2LaPr
1.0
5.374 0.000 -0.581
0.000 7.750 0.000
0.834 0.000 7.691
Ac La Pr
4 2 2
direct
0.000 0.500 0.750
0.000 0.500 0.250
0.000 0.000 0.250
0.000 0.000 0.750
0.500 0.750 0.500
0.500 0.250 0.500
0.500 0.750 0.000
0.500 0.250 0.000
```

Computed properties:
As for the crystal system: orthorhombic. Its offset from the most stable computed form is 6 meV/atom. For the formation energy from the elements, the calculation gives 0.020 eV per atom.

---

No. 8
A relaxed structure of TcMo3. Source: Alexandria, functional GGA-PBE.

```
TcMo3
1.0
-0.581 1.932 1.836
-4.327 -0.485 -0.858
-0.517 -2.946 4.274
Mo Tc
3 1
direct
0.008 0.000 0.999
0.492 0.000 0.501
0.250 0.500 0.250
0.750 0.500 0.750
```

Computed properties:
As for the crystal system: monoclinic. Its offset from the most stable computed form is 16 meV/atom. For the formation energy from the elements, the calculation gives 0.038 eV per atom.

---

No. 9
A relaxed structure of Li2TbCe3Se6. Source: Alexandria, functional GGA-PBE.

```
Li2TbCe3Se6
1.0
7.164 -0.002 0.000
-3.582 6.205 0.000
-1.195 -2.069 6.731
Li Tb Ce Se
2 1 3 6
direct
0.333 0.667 0.000
0.667 0.333 0.000
0.000 0.000 0.000
0.167 0.833 0.500
0.833 0.167 0.500
0.500 0.500 0.500
0.922 0.585 0.765
0.742 0.742 0.236
0.078 0.415 0.235
0.585 0.922 0.765
0.258 0.258 0.764
0.415 0.078 0.235
```

Computed properties:
As for the crystal system: monoclinic. The value obtained for the uncorrected formation energy is -1.679 eV/atom.

---

No. 10
A relaxed structure of Ti6C2O3. Source: Alexandria, functional GGA-PBE.

```
Ti6C2O3
1.0
-5.135 -0.952 -0.018
0.803 -4.379 2.532
-0.814 4.343 2.590
Ti C O
6 2 3
direct
0.740 0.340 0.340
0.740 0.000 0.660
0.740 0.660 0.000
0.260 0.660 0.660
0.260 0.000 0.340
0.260 0.340 0.000
0.500 0.333 0.667
0.500 0.667 0.333
0.000 0.667 0.333
0.000 0.333 0.667
0.500 0.000 0.000
```

Computed properties:
As for the crystal system: trigonal. The value obtained for the uncorrected formation energy is -1.669 eV/atom.

---

No. 11
A relaxed structure of KTlTc2. Source: Alexandria, functional GGA-PBE.

```
KTlTc2
1.0
10.830 0.003 0.002
10.426 2.929 0.002
10.426 1.438 2.551
K Tc Tl
1 2 1
direct
0.750 0.750 0.750
0.991 0.991 0.991
0.509 0.509 0.509
0.250 0.250 0.250
```

Computed properties:
As for the crystal system: trigonal. Its offset from the most stable computed form is 728 meV/atom. For the formation energy from the elements, the calculation gives 1.213 eV per atom.

---

No. 12
A relaxed structure of TaRh2Br. Source: Alexandria, functional GGA-PBE.

```
TaRh2Br
1.0
3.021 0.000 0.000
0.000 4.733 0.000
0.000 0.000 4.525
Rh Br Ta
2 1 1
direct
0.000 0.000 0.000
0.500 0.500 0.000
0.000 0.500 0.500
0.500 0.000 0.500
```

Computed properties:
As for the crystal system: orthorhombic. Its offset from the most stable computed form is 554 meV/atom. The value obtained for the uncorrected formation energy is 0.316 eV/atom.

---

Calculated total energy (eV per formula unit), listed in the same order as above: -30.951, -53.006, -20.079, -24.980, -65.572, -8.222, -17.844, -42.706, -67.316, -99.048, -19.343, -26.965
Calculated total moment (μB/cell), listed in the same order as above: 0.00, 0.00, 4.48, 0.00, 0.00, 0.00, 0.00, 0.00, 3.64, 0.00, 0.00, 0.00